Entry 1:
Density functional theory data (PBEsol) for an optimized crystal structure of OsPt4.

- space group = R-3m
- total moment (μB/atom) = 0.0004
- offset from the most stable computed form (kJ/mol of atoms) = 0.00
- DOS at the Fermi energy (states/eV/cell) = 6.1

abc: 11.347 11.347 11.347
angles: 13.94 13.94 13.94
Element x y z (fractional)
Os 0.000 0.000 0.000
Pt 0.201 0.201 0.201
Pt 0.398 0.398 0.398
Pt 0.602 0.602 0.602
Pt 0.799 0.799 0.799

---

Entry 2:
Density functional theory data (PBEsol) for an optimized crystal structure of BeCrRu3.

- space group = Pm-3m
- total moment (μB/atom) = 0.1596
- DOS at the Fermi energy (states/eV/cell) = 4.0
- raw total energy (eV per atom) = -8.332

abc: 3.993 3.993 3.993
angles: 90.00 90.00 90.00
Element x y z (fractional)
Be 0.000 0.000 0.000
Cr 0.500 0.500 0.500
Ru 0.000 0.000 0.500
Ru 0.000 0.500 0.000
Ru 0.500 0.000 0.000